Record 1
5
Lattice="4.8910 0.0000 0.0000 0.0000 5.2802 0.0000 0.0000 0.0000 4.8910" Properties=species:S:1:pos:R:3 comment="Sc2NbSnW, optimized geometry, DFT PBE" e_tot_ev_per_cell=-32.86 e_form_mev_per_atom=1366.7 pbc="T T T"
W 2.4455 2.6401 2.4455
Sc 2.4455 0.0000 0.0000
Sc 0.0000 0.0000 2.4455
Nb 0.0000 0.0000 0.0000
Sn 0.0000 2.6401 0.0000

Record 2
5
Lattice="-1.6656 3.8291 3.0204 -5.0186 -2.1715 -0.0145 1.1893 -2.7765 4.1757" Properties=species:S:1:pos:R:3 comment="YScNb2Sn, optimized geometry, DFT PBE" e_tot_ev_per_cell=-31.71 e_form_mev_per_atom=1045.5 pbc="T T T"
Nb -0.8328 1.9146 1.5102
Sc -2.7475 -0.5594 3.5908
Nb 0.5946 -1.3882 2.0878
Sn 0.0000 0.0000 0.0000
Y -2.5093 -1.0858 -0.0073

Record 3
4
Lattice="-1.7410 1.6151 5.1519 0.8702 5.3264 1.7475 -4.3817 3.5646 0.5250" Properties=species:S:1:pos:R:3 comment="Sr2ScNb, optimized geometry, DFT PBE" e_tot_ev_per_cell=-16.39 relative_energy_ev_per_atom=0.000 e_form_mev_per_atom=844.5 pbc="T T T"
Sr -3.9394 7.8796 5.5683
Nb -2.6262 5.2531 3.7122
Sc 0.0000 0.0000 0.0000
Sr -1.3131 2.6265 1.8561

Record 4
8
Lattice="8.1459 0.0000 0.0000 0.0000 8.1459 0.0000 4.0730 4.0730 2.9425" Properties=species:S:1:pos:R:3 comment="SrScNb2, optimized geometry, DFT PBE" e_tot_ev_per_cell=-46.91 relative_energy_ev_per_atom=0.189 e_form_mev_per_atom=1175.1 pbc="T T T"
Sr 8.1459 4.0730 1.4712
Sc 4.0730 8.1459 1.4712
Nb 5.9699 2.0365 0.7356
Nb 10.1824 10.0428 2.2068
Sr 0.0000 0.0000 0.0000
Sc 4.0730 4.0730 0.0000
Nb 2.1760 6.1094 0.7356
Nb 6.1094 6.2490 2.2068

Record 5
4
Lattice="1.8934 1.3123 4.5407 -2.8710 2.6087 3.2980 -1.7179 -2.2632 4.2252" Properties=species:S:1:pos:R:3 comment="SrScNb2, optimized geometry, DFT PBE" e_tot_ev_per_cell=-24.21 relative_energy_ev_per_atom=0.000 e_form_mev_per_atom=986.3 pbc="T T T"
Sc 0.0000 0.0000 0.0000
Nb -0.6739 0.4144 3.0160
Nb -2.0216 1.2433 9.0480
Sr -1.3478 0.8289 6.0320

Record 6
8
Lattice="-4.3740 6.9765 -3.7147 -7.2205 -1.8001 5.1212 -4.6552 4.5238 2.9938" Properties=species:S:1:pos:R:3 comment="Sr2ScNb, optimized geometry, DFT PBE" e_tot_ev_per_cell=-31.08 relative_energy_ev_per_atom=0.211 e_form_mev_per_atom=1055.8 pbc="T T T"
Sr -13.7588 7.8917 3.5628
Sc -5.7972 2.5882 0.7033
Sr -7.7171 5.3645 2.6861
Sr -4.8742 5.3844 -0.9960
Sc -8.8365 2.6559 4.4091
Nb 0.0000 0.0000 0.0000
Sr -6.1493 0.7598 3.5478
Nb -7.4132 7.0443 -0.0088

Number 1: spin magnetization 3.620 μB per formula unit. Number 2: spin magnetization 0.000 μB per formula unit. Number 3: spin magnetization 1.998 μB per formula unit. Number 4: spin magnetization 0.983 μB per formula unit. Number 5: spin magnetization 0.001 μB per formula unit. Number 6: spin magnetization 2.575 μB per formula unit.